Ho8P3CSe4 | GGA-PBE | relaxed

Properties
* D(E_F): 11.5 states/eV/cell
* total magnetization: 0.00 μB/f.u.
* formation energy without anion corrections: -1618 meV per atom
* VASP energy: -6.369 eV per atom

Lattice parameters (Å, degrees): 7.9015 7.9015 19.8352 90.00 90.00 120.00
Space group R-3m (No. 166, hexagonal axes)
Unique sites:
Ho (0.0000, 0.0000, 0.2431)
Ho (0.0206, 0.5103, 0.2391)
P (0.0000, 0.5000, 0.5000)
C (0.0000, 0.0000, 0.5000)
Se (0.0000, 0.0000, 0.0000)
Se (0.0000, 0.5000, 0.0000)

***

CeSmHoPb | GGA-PBE | relaxed

Properties
* D(E_F): 33.2 states/eV/cell
* total magnetization: 0.65 μB/f.u.
* VASP energy: -4.797 eV per atom

Lattice parameters (Å, degrees): 7.7402 7.7402 7.7402 90.00 90.00 90.00
Space group F-43m (No. 216)
Unique sites:
Ce (0.0000, 0.0000, 0.0000)
Sm (0.2500, 0.2500, 0.7500)
Ho (0.2500, 0.2500, 0.2500)
Pb (0.0000, 0.0000, 0.5000)

***

Ti2TlBr6 | GGA-PBE | relaxed

Properties
* D(E_F): 8.3 states/eV/cell
* total magnetization: 3.00 μB/f.u.
* formation energy without anion corrections: -1078 meV per atom
* VASP energy: -4.210 eV per atom

Lattice parameters (Å, degrees): 6.6634 6.6634 7.7771 90.00 90.00 120.00
Space group P-31m (No. 162)
Unique sites:
Ti (0.3333, 0.6667, 0.0000)
Tl (0.0000, 0.0000, 0.5000)
Br (0.0000, 0.3555, 0.1955)

***

Q: Number 1 is which compound?
A: Ho8P3CSe4